MgPAu: relaxed, PBE. Values from VASP.

Cell and atoms, written as Quantum ESPRESSO input:
```
&SYSTEM
  ibrav = 0, nat = 3, ntyp = 3
/
ATOMIC_SPECIES
Mg 24.30 Mg.upf
P 30.97 P.upf
Au 196.97 Au.upf
CELL_PARAMETERS angstrom
4.140 0.000 0.000
-2.070 3.585 0.000
0.000 0.000 3.826
ATOMIC_POSITIONS crystal
Mg 0.000 0.000 0.000
P 0.333 0.667 0.462
Au 0.667 0.333 0.561
```

Calculated values
space group = P3m1, No. 156
energy relative to the elements = -0.74 eV per formula unit

***

MgPAu: relaxed, PBE. Values from VASP.

Cell and atoms, written as Quantum ESPRESSO input:
```
&SYSTEM
  ibrav = 0, nat = 12, ntyp = 3
/
ATOMIC_SPECIES
Mg 24.30 Mg.upf
P 30.97 P.upf
Au 196.97 Au.upf
CELL_PARAMETERS angstrom
7.925 0.000 0.000
0.000 3.932 0.000
0.000 0.000 7.682
ATOMIC_POSITIONS crystal
Mg 0.089 0.250 0.203
Mg 0.411 0.750 0.703
Mg 0.589 0.250 0.297
Mg 0.911 0.750 0.797
P 0.188 0.750 0.981
P 0.312 0.250 0.481
P 0.688 0.750 0.519
P 0.812 0.250 0.019
Au 0.122 0.750 0.490
Au 0.378 0.250 0.990
Au 0.622 0.750 0.010
Au 0.878 0.250 0.510
```

Calculated values
space group = Pnma, No. 62
energy relative to the elements = -0.92 eV per formula unit

***

MgP2Au2: relaxed, PBE. Values from VASP.

Cell and atoms, written as Quantum ESPRESSO input:
```
&SYSTEM
  ibrav = 0, nat = 10, ntyp = 3
/
ATOMIC_SPECIES
Mg 24.30 Mg.upf
P 30.97 P.upf
Au 196.97 Au.upf
CELL_PARAMETERS angstrom
3.767 0.000 0.000
0.000 3.767 0.000
0.000 0.000 13.010
ATOMIC_POSITIONS crystal
Mg 0.000 0.000 0.000
Mg 0.500 0.500 0.500
P 0.000 0.500 0.250
P 0.000 0.500 0.750
P 0.500 0.000 0.250
P 0.500 0.000 0.750
Au 0.000 0.000 0.398
Au 0.000 0.000 0.602
Au 0.500 0.500 0.102
Au 0.500 0.500 0.898
```

Calculated values
space group = I4/mmm, No. 139
energy relative to the elements = 0.22 eV per formula unit

***

Mg2PAu: relaxed, PBE. Values from VASP.

Cell and atoms, written as Quantum ESPRESSO input:
```
&SYSTEM
  ibrav = 0, nat = 12, ntyp = 3
/
ATOMIC_SPECIES
Mg 24.30 Mg.upf
P 30.97 P.upf
Au 196.97 Au.upf
CELL_PARAMETERS angstrom
4.003 0.000 0.000
-2.002 3.467 0.000
0.000 0.000 17.380
ATOMIC_POSITIONS crystal
Mg 0.000 0.000 0.000
Mg 0.000 0.000 0.194
Mg 0.333 0.667 0.667
Mg 0.333 0.667 0.860
Mg 0.667 0.333 0.333
Mg 0.667 0.333 0.527
P 0.000 0.000 0.591
P 0.333 0.667 0.258
P 0.667 0.333 0.925
Au 0.000 0.000 0.434
Au 0.333 0.667 0.101
Au 0.667 0.333 0.768
```

Calculated values
space group = R3m, No. 160
energy relative to the elements = -1.74 eV per formula unit

***

MgP2Au: relaxed, PBE. Values from VASP.

Cell and atoms, written as Quantum ESPRESSO input:
```
&SYSTEM
  ibrav = 0, nat = 4, ntyp = 3
/
ATOMIC_SPECIES
Mg 24.30 Mg.upf
P 30.97 P.upf
Au 196.97 Au.upf
CELL_PARAMETERS angstrom
4.882 0.000 0.000
0.000 4.882 0.000
0.000 0.000 2.842
ATOMIC_POSITIONS crystal
Mg 0.000 0.000 0.000
P 0.000 0.500 0.500
P 0.500 0.000 0.500
Au 0.500 0.500 0.000
```

Calculated values
space group = P4/mmm, No. 123
energy relative to the elements = 0.43 eV per formula unit

***

MgPAu: relaxed, PBE. Values from VASP.

Cell and atoms, written as Quantum ESPRESSO input:
```
&SYSTEM
  ibrav = 0, nat = 9, ntyp = 3
/
ATOMIC_SPECIES
Mg 24.30 Mg.upf
P 30.97 P.upf
Au 196.97 Au.upf
CELL_PARAMETERS angstrom
6.995 0.000 0.000
-3.498 6.058 0.000
0.000 0.000 3.775
ATOMIC_POSITIONS crystal
Mg 0.000 0.606 0.000
Mg 0.394 0.394 0.000
Mg 0.606 0.000 0.000
P 0.000 0.280 0.500
P 0.280 0.000 0.500
P 0.720 0.720 0.500
Au 0.000 0.000 0.000
Au 0.333 0.667 0.500
Au 0.667 0.333 0.500
```

Calculated values
space group = P-62m, No. 189
energy relative to the elements = -0.82 eV per formula unit

***

MgP2Au: relaxed, PBE. Values from VASP.

Cell and atoms, written as Quantum ESPRESSO input:
```
&SYSTEM
  ibrav = 0, nat = 4, ntyp = 3
/
ATOMIC_SPECIES
Mg 24.30 Mg.upf
P 30.97 P.upf
Au 196.97 Au.upf
CELL_PARAMETERS angstrom
3.635 0.000 0.000
0.000 3.635 0.000
0.000 0.000 5.405
ATOMIC_POSITIONS crystal
Mg 0.000 0.000 0.000
P 0.500 0.500 0.201
P 0.500 0.500 0.799
Au 0.000 0.000 0.500
```

Calculated values
space group = P4/mmm, No. 123
energy relative to the elements = 0.21 eV per formula unit

***

MgPAu: relaxed, PBE. Values from VASP.

Cell and atoms, written as Quantum ESPRESSO input:
```
&SYSTEM
  ibrav = 0, nat = 12, ntyp = 3
/
ATOMIC_SPECIES
Mg 24.30 Mg.upf
P 30.97 P.upf
Au 196.97 Au.upf
CELL_PARAMETERS angstrom
4.397 0.000 0.000
0.000 7.173 0.000
0.000 0.000 7.475
ATOMIC_POSITIONS crystal
Mg 0.000 0.000 0.000
Mg 0.000 0.000 0.500
Mg 0.500 0.500 0.000
Mg 0.500 0.500 0.500
P 0.000 0.255 0.250
P 0.000 0.745 0.750
P 0.500 0.245 0.750
P 0.500 0.755 0.250
Au 0.000 0.396 0.750
Au 0.000 0.604 0.250
Au 0.500 0.104 0.250
Au 0.500 0.896 0.750
```

Calculated values
space group = Cmcm, No. 63
energy relative to the elements = -0.81 eV per formula unit

***

Mg2PAu: relaxed, PBE. Values from VASP.

Cell and atoms, written as Quantum ESPRESSO input:
```
&SYSTEM
  ibrav = 0, nat = 12, ntyp = 3
/
ATOMIC_SPECIES
Mg 24.30 Mg.upf
P 30.97 P.upf
Au 196.97 Au.upf
CELL_PARAMETERS angstrom
4.195 0.000 0.000
-2.097 3.633 0.000
0.000 0.000 16.494
ATOMIC_POSITIONS crystal
Mg 0.000 0.000 0.000
Mg 0.000 0.000 0.198
Mg 0.333 0.667 0.667
Mg 0.333 0.667 0.865
Mg 0.667 0.333 0.333
Mg 0.667 0.333 0.531
P 0.000 0.000 0.487
P 0.333 0.667 0.153
P 0.667 0.333 0.820
Au 0.000 0.000 0.738
Au 0.333 0.667 0.405
Au 0.667 0.333 0.071
```

Calculated values
space group = R3m, No. 160
energy relative to the elements = -0.53 eV per formula unit

***

MgPAu: relaxed, PBE. Values from VASP.

Cell and atoms, written as Quantum ESPRESSO input:
```
&SYSTEM
  ibrav = 0, nat = 12, ntyp = 3
/
ATOMIC_SPECIES
Mg 24.30 Mg.upf
P 30.97 P.upf
Au 196.97 Au.upf
CELL_PARAMETERS angstrom
7.191 0.000 0.000
0.000 3.945 0.000
0.000 0.000 7.635
ATOMIC_POSITIONS crystal
Mg 0.048 0.250 0.184
Mg 0.452 0.750 0.684
Mg 0.548 0.250 0.316
Mg 0.952 0.750 0.816
P 0.216 0.250 0.866
P 0.284 0.750 0.366
P 0.716 0.250 0.634
P 0.784 0.750 0.134
Au 0.164 0.250 0.547
Au 0.336 0.750 0.047
Au 0.664 0.250 0.953
Au 0.836 0.750 0.453
```

Calculated values
space group = Pnma, No. 62
energy relative to the elements = -0.81 eV per formula unit

***

Mg2PAu2: relaxed, PBE. Values from VASP.

Cell and atoms, written as Quantum ESPRESSO input:
```
&SYSTEM
  ibrav = 0, nat = 10, ntyp = 3
/
ATOMIC_SPECIES
Mg 24.30 Mg.upf
P 30.97 P.upf
Au 196.97 Au.upf
CELL_PARAMETERS angstrom
7.457 0.000 0.000
0.000 7.457 0.000
0.000 0.000 3.441
ATOMIC_POSITIONS crystal
Mg 0.163 0.337 0.000
Mg 0.337 0.837 0.000
Mg 0.663 0.163 0.000
Mg 0.837 0.663 0.000
P 0.000 0.000 0.000
P 0.500 0.500 0.000
Au 0.134 0.634 0.500
Au 0.366 0.134 0.500
Au 0.634 0.866 0.500
Au 0.866 0.366 0.500
```

Calculated values
relative energy among the computed polymorphs = 116.7 meV per atom
space group = P4/mbm, No. 127
energy relative to the elements = -0.82 eV per formula unit

***

MgPAu3: relaxed, PBE. Values from VASP.

Cell and atoms, written as Quantum ESPRESSO input:
```
&SYSTEM
  ibrav = 0, nat = 5, ntyp = 3
/
ATOMIC_SPECIES
Mg 24.30 Mg.upf
P 30.97 P.upf
Au 196.97 Au.upf
CELL_PARAMETERS angstrom
4.775 0.000 0.000
0.000 4.775 0.000
0.000 0.000 4.775
ATOMIC_POSITIONS crystal
Mg 0.000 0.000 0.000
P 0.500 0.500 0.500
Au 0.000 0.500 0.500
Au 0.500 0.000 0.500
Au 0.500 0.500 0.000
```

Calculated values
relative energy among the computed polymorphs = 0.0 meV per atom
space group = Pm-3m, No. 221
energy relative to the elements = 0.58 eV per formula unit

***

MgP2Au: relaxed, PBE. Values from VASP.

Cell and atoms, written as Quantum ESPRESSO input:
```
&SYSTEM
  ibrav = 0, nat = 8, ntyp = 3
/
ATOMIC_SPECIES
Mg 24.30 Mg.upf
P 30.97 P.upf
Au 196.97 Au.upf
CELL_PARAMETERS angstrom
3.803 0.000 0.000
0.000 3.803 0.000
0.000 0.000 9.568
ATOMIC_POSITIONS crystal
Mg 0.000 0.000 0.000
Mg 0.500 0.500 0.500
P 0.000 0.500 0.250
P 0.000 0.500 0.750
P 0.500 0.000 0.250
P 0.500 0.000 0.750
Au 0.000 0.000 0.500
Au 0.500 0.500 0.000
```

Calculated values
space group = I4/mmm, No. 139
energy relative to the elements = 0.73 eV per formula unit

***

MgPAu: relaxed, PBE. Values from VASP.

Cell and atoms, written as Quantum ESPRESSO input:
```
&SYSTEM
  ibrav = 0, nat = 6, ntyp = 3
/
ATOMIC_SPECIES
Mg 24.30 Mg.upf
P 30.97 P.upf
Au 196.97 Au.upf
CELL_PARAMETERS angstrom
4.582 0.000 0.000
-2.291 3.968 0.000
0.000 0.000 9.625
ATOMIC_POSITIONS crystal
Mg 0.000 0.000 0.250
Mg 0.000 0.000 0.750
P 0.000 0.000 0.000
P 0.000 0.000 0.500
Au 0.333 0.667 0.250
Au 0.667 0.333 0.750
```

Calculated values
space group = P6_3/mmc, No. 194
energy relative to the elements = 2.16 eV per formula unit

***

MgP2Au: relaxed, PBE. Values from VASP.

Cell and atoms, written as Quantum ESPRESSO input:
```
&SYSTEM
  ibrav = 0, nat = 4, ntyp = 3
/
ATOMIC_SPECIES
Mg 24.30 Mg.upf
P 30.97 P.upf
Au 196.97 Au.upf
CELL_PARAMETERS angstrom
4.273 0.000 0.000
0.000 4.762 0.000
-2.134 0.000 3.951
ATOMIC_POSITIONS crystal
Mg 0.000 0.000 0.000
P 0.340 0.000 0.678
P 0.488 0.500 0.973
Au 0.164 0.500 0.326
```

Calculated values
space group = Pm, No. 6
energy relative to the elements = -0.28 eV per formula unit

***

MgPAu: relaxed, PBE. Values from VASP.

Cell and atoms, written as Quantum ESPRESSO input:
```
&SYSTEM
  ibrav = 0, nat = 6, ntyp = 3
/
ATOMIC_SPECIES
Mg 24.30 Mg.upf
P 30.97 P.upf
Au 196.97 Au.upf
CELL_PARAMETERS angstrom
4.177 0.000 0.000
2.085 3.622 0.000
0.007 0.056 8.176
ATOMIC_POSITIONS crystal
Mg 0.000 0.000 0.000
Mg 0.336 0.331 0.302
P 0.667 0.665 0.115
P 0.668 0.663 0.527
Au 0.002 0.997 0.496
Au 0.667 0.665 0.816
```

Calculated values
space group = P1, No. 1
energy relative to the elements = -1.11 eV per formula unit

***

MgP2Au: relaxed, PBE. Values from VASP.

Cell and atoms, written as Quantum ESPRESSO input:
```
&SYSTEM
  ibrav = 0, nat = 4, ntyp = 3
/
ATOMIC_SPECIES
Mg 24.30 Mg.upf
P 30.97 P.upf
Au 196.97 Au.upf
CELL_PARAMETERS angstrom
3.669 0.000 0.000
0.000 4.222 0.000
0.000 0.000 4.359
ATOMIC_POSITIONS crystal
Mg 0.000 0.000 0.000
P 0.500 0.000 0.500
P 0.500 0.500 0.000
Au 0.000 0.500 0.500
```

Calculated values
space group = Pmmm, No. 47
energy relative to the elements = 0.46 eV per formula unit

***

Mg2PAu: relaxed, PBE. Values from VASP.

Cell and atoms, written as Quantum ESPRESSO input:
```
&SYSTEM
  ibrav = 0, nat = 8, ntyp = 3
/
ATOMIC_SPECIES
Mg 24.30 Mg.upf
P 30.97 P.upf
Au 196.97 Au.upf
CELL_PARAMETERS angstrom
3.077 0.000 0.000
0.000 3.932 0.000
0.000 0.000 12.972
ATOMIC_POSITIONS crystal
Mg 0.000 0.000 0.000
Mg 0.000 0.500 0.237
Mg 0.500 0.000 0.737
Mg 0.500 0.500 0.500
P 0.000 0.500 0.669
P 0.500 0.000 0.169
Au 0.000 0.000 0.402
Au 0.500 0.500 0.902
```

Calculated values
space group = Imm2, No. 44
energy relative to the elements = -1.47 eV per formula unit

***

Mg2PAu: relaxed, PBE. Values from VASP.

Cell and atoms, written as Quantum ESPRESSO input:
```
&SYSTEM
  ibrav = 0, nat = 8, ntyp = 3
/
ATOMIC_SPECIES
Mg 24.30 Mg.upf
P 30.97 P.upf
Au 196.97 Au.upf
CELL_PARAMETERS angstrom
6.746 0.000 0.000
0.000 3.911 0.000
-2.280 0.000 6.187
ATOMIC_POSITIONS crystal
Mg 0.235 0.000 0.205
Mg 0.265 0.500 0.795
Mg 0.735 0.500 0.205
Mg 0.765 0.000 0.795
P 0.000 0.500 0.000
P 0.500 0.000 0.000
Au 0.000 0.000 0.500
Au 0.500 0.500 0.500
```

Calculated values
space group = C2/m, No. 12
energy relative to the elements = -1.63 eV per formula unit

***

MgPAu: relaxed, PBE. Values from VASP.

Cell and atoms, written as Quantum ESPRESSO input:
```
&SYSTEM
  ibrav = 0, nat = 6, ntyp = 3
/
ATOMIC_SPECIES
Mg 24.30 Mg.upf
P 30.97 P.upf
Au 196.97 Au.upf
CELL_PARAMETERS angstrom
2.934 0.000 0.000
0.000 2.934 0.000
0.000 0.000 12.301
ATOMIC_POSITIONS crystal
Mg 0.000 0.000 0.000
Mg 0.500 0.500 0.500
P 0.000 0.000 0.349
P 0.500 0.500 0.849
Au 0.000 0.000 0.655
Au 0.500 0.500 0.155
```

Calculated values
space group = I4mm, No. 107
energy relative to the elements = -0.13 eV per formula unit